Record 1
Entry from Alexandria: a relaxed AcEu2Ho crystal (PBE-GGA).

Unit cell a=13.488 b=13.488 c=13.488 alpha=15.82 beta=15.82 gamma=15.82
Sites, in units of the cell vectors:
Ac: 0.000 0.000 0.000
Eu: 0.416 0.416 0.416
Eu: 0.584 0.584 0.584
Ho: 0.500 0.500 0.500

## Properties
- ΔH_f (0 K): 245 meV/atom
- ΔE to the lowest computed polymorph: 0.149 eV/atom



Record 2
Entry from Alexandria: a relaxed Ac2EuHo crystal (PBE-GGA).

Unit cell a=6.105 b=6.105 c=6.105 alpha=60.00 beta=60.00 gamma=60.00
Sites, in units of the cell vectors:
Ac: 0.250 0.250 0.250
Ac: 0.750 0.750 0.750
Eu: 0.000 0.000 0.000
Ho: 0.500 0.500 0.500

## Properties
- ΔH_f (0 K): 91 meV/atom
- ΔE to the lowest computed polymorph: 0.052 eV/atom



Record 3
Entry from Alexandria: a relaxed AcEu2Ho crystal (PBE-GGA).

Unit cell a=6.042 b=6.042 c=4.282 alpha=90.00 beta=90.00 gamma=90.00
Sites, in units of the cell vectors:
Ac: 0.000 0.000 0.000
Eu: 0.000 0.500 0.500
Eu: 0.500 0.000 0.500
Ho: 0.500 0.500 0.000

## Properties
- ΔH_f (0 K): 141 meV/atom
- ΔE to the lowest computed polymorph: 0.045 eV/atom



Record 4
Entry from Alexandria: a relaxed AcEuHoIn crystal (PBE-GGA).

Unit cell a=5.711 b=5.711 c=5.711 alpha=60.00 beta=60.00 gamma=60.00
Sites, in units of the cell vectors:
Ac: 0.000 0.000 0.000
Eu: 0.750 0.750 0.750
Ho: 0.250 0.250 0.250
In: 0.500 0.500 0.500

## Properties
- ΔH_f (0 K): -32 meV/atom



Record 5
Entry from Alexandria: a relaxed LiAcEuHo crystal (PBE-GGA).

Unit cell a=5.840 b=5.840 c=5.840 alpha=60.00 beta=60.00 gamma=60.00
Sites, in units of the cell vectors:
Li: 0.000 0.000 0.000
Ac: 0.500 0.500 0.500
Eu: 0.750 0.750 0.750
Ho: 0.250 0.250 0.250

## Properties
- ΔH_f (0 K): 250 meV/atom



Record 6
Entry from Alexandria: a relaxed AcEuHoLu crystal (PBE-GGA).

Unit cell a=5.888 b=5.888 c=5.888 alpha=60.00 beta=60.00 gamma=60.00
Sites, in units of the cell vectors:
Ac: 0.000 0.000 0.000
Eu: 0.250 0.250 0.250
Ho: 0.750 0.750 0.750
Lu: 0.500 0.500 0.500

## Properties
- ΔH_f (0 K): 160 meV/atom



Record 7
Entry from Alexandria: a relaxed AcNdEuHo crystal (PBE-GGA).

Unit cell a=5.979 b=5.979 c=5.979 alpha=60.00 beta=60.00 gamma=60.00
Sites, in units of the cell vectors:
Ac: 0.000 0.000 0.000
Nd: 0.500 0.500 0.500
Eu: 0.250 0.250 0.250
Ho: 0.750 0.750 0.750

## Properties
- ΔH_f (0 K): 123 meV/atom



Record 8
Entry from Alexandria: a relaxed AcPmEuHo crystal (PBE-GGA).

Unit cell a=5.967 b=5.967 c=5.967 alpha=60.00 beta=60.00 gamma=60.00
Sites, in units of the cell vectors:
Ac: 0.000 0.000 0.000
Pm: 0.500 0.500 0.500
Eu: 0.750 0.750 0.750
Ho: 0.250 0.250 0.250

## Properties
- ΔH_f (0 K): 128 meV/atom



Record 9
Entry from Alexandria: a relaxed AcEuHoSc crystal (PBE-GGA).

Unit cell a=5.796 b=5.796 c=5.796 alpha=60.00 beta=60.00 gamma=60.00
Sites, in units of the cell vectors:
Ac: 0.000 0.000 0.000
Eu: 0.750 0.750 0.750
Ho: 0.500 0.500 0.500
Sc: 0.250 0.250 0.250

## Properties
- ΔH_f (0 K): 166 meV/atom



Record 10
Entry from Alexandria: a relaxed SrAcEuHo crystal (PBE-GGA).

Unit cell a=6.183 b=6.183 c=6.183 alpha=60.00 beta=60.00 gamma=60.00
Sites, in units of the cell vectors:
Sr: 0.000 0.000 0.000
Ac: 0.750 0.750 0.750
Eu: 0.250 0.250 0.250
Ho: 0.500 0.500 0.500

## Properties
- ΔH_f (0 K): 167 meV/atom



Record 11
Entry from Alexandria: a relaxed AcTbEuHo crystal (PBE-GGA).

Unit cell a=5.934 b=5.934 c=5.934 alpha=60.00 beta=60.00 gamma=60.00
Sites, in units of the cell vectors:
Ac: 0.000 0.000 0.000
Tb: 0.500 0.500 0.500
Eu: 0.250 0.250 0.250
Ho: 0.750 0.750 0.750

## Properties
- ΔH_f (0 K): 144 meV/atom



Record 12
Entry from Alexandria: a relaxed AcEuHoZn crystal (PBE-GGA).

Unit cell a=5.644 b=5.644 c=5.644 alpha=60.00 beta=60.00 gamma=60.00
Sites, in units of the cell vectors:
Ac: 0.000 0.000 0.000
Eu: 0.250 0.250 0.250
Ho: 0.750 0.750 0.750
Zn: 0.500 0.500 0.500

## Properties
- ΔH_f (0 K): 190 meV/atom



Record 13
Entry from Alexandria: a relaxed AcEuI2 crystal (PBE-GGA).

Unit cell a=11.772 b=11.772 c=11.772 alpha=20.37 beta=20.37 gamma=20.37
Sites, in units of the cell vectors:
Ac: 0.000 0.000 0.000
Eu: 0.500 0.500 0.500
I: 0.405 0.405 0.405
I: 0.595 0.595 0.595

## Properties
- ΔE to the lowest computed polymorph: 0.000 eV/atom
- Formation energy (no corrections): -0.946 eV per atom



Record 14
Entry from Alexandria: a relaxed AcEuI2 crystal (PBE-GGA).

Unit cell a=4.086 b=4.086 c=8.176 alpha=90.00 beta=90.00 gamma=90.00
Sites, in units of the cell vectors:
Ac: 0.000 0.000 0.000
Eu: 0.000 0.000 0.500
I: 0.500 0.500 0.248
I: 0.500 0.500 0.752

## Properties
- ΔE to the lowest computed polymorph: 0.041 eV/atom
- Formation energy (no corrections): -0.905 eV per atom



Record 15
Entry from Alexandria: a relaxed AcEuInI crystal (PBE-GGA).

Unit cell a=5.813 b=5.813 c=5.813 alpha=60.00 beta=60.00 gamma=60.00
Sites, in units of the cell vectors:
Ac: 0.000 0.000 0.000
Eu: 0.500 0.500 0.500
In: 0.750 0.750 0.750
I: 0.250 0.250 0.250

## Properties
- Formation energy (no corrections): -0.582 eV per atom



Record 16
Entry from Alexandria: a relaxed AcEuPbI crystal (PBE-GGA).

Unit cell a=5.830 b=5.830 c=5.830 alpha=60.00 beta=60.00 gamma=60.00
Sites, in units of the cell vectors:
Ac: 0.000 0.000 0.000
Eu: 0.500 0.500 0.500
Pb: 0.250 0.250 0.250
I: 0.750 0.750 0.750

## Properties
- Formation energy (no corrections): -0.764 eV per atom



Record 17
Entry from Alexandria: a relaxed AcEuSbI crystal (PBE-GGA).

Unit cell a=5.740 b=5.740 c=5.740 alpha=60.00 beta=60.00 gamma=60.00
Sites, in units of the cell vectors:
Ac: 0.000 0.000 0.000
Eu: 0.500 0.500 0.500
Sb: 0.250 0.250 0.250
I: 0.750 0.750 0.750

## Properties
- Formation energy (no corrections): -1.071 eV per atom



Record 18
Entry from Alexandria: a relaxed AcEuSnI crystal (PBE-GGA).

Unit cell a=5.787 b=5.787 c=5.787 alpha=60.00 beta=60.00 gamma=60.00
Sites, in units of the cell vectors:
Ac: 0.000 0.000 0.000
Eu: 0.500 0.500 0.500
Sn: 0.250 0.250 0.250
I: 0.750 0.750 0.750

## Properties
- Formation energy (no corrections): -0.838 eV per atom



Record 19
Entry from Alexandria: a relaxed AcEuTeI crystal (PBE-GGA).

Unit cell a=5.720 b=5.720 c=5.720 alpha=60.00 beta=60.00 gamma=60.00
Sites, in units of the cell vectors:
Ac: 0.000 0.000 0.000
Eu: 0.500 0.500 0.500
Te: 0.250 0.250 0.250
I: 0.750 0.750 0.750

## Properties
- Formation energy (no corrections): -1.192 eV per atom



Record 20
Entry from Alexandria: a relaxed AcEuInIr crystal (PBE-GGA).

Unit cell a=5.375 b=5.375 c=5.375 alpha=60.00 beta=60.00 gamma=60.00
Sites, in units of the cell vectors:
Ac: 0.000 0.000 0.000
Eu: 0.500 0.500 0.500
In: 0.750 0.750 0.750
Ir: 0.250 0.250 0.250

## Properties
- ΔH_f (0 K): -302 meV/atom



Number 1: density of states at the Fermi level 5.46 states/eV per cell. Number 2: density of states at the Fermi level 5.61 states/eV per cell. Number 3: density of states at the Fermi level 5.25 states/eV per cell. Number 4: density of states at the Fermi level 6.12 states/eV per cell. Number 5: density of states at the Fermi level 5.06 states/eV per cell. Number 6: density of states at the Fermi level 5.19 states/eV per cell. Number 7: density of states at the Fermi level 6.16 states/eV per cell. Number 8: density of states at the Fermi level 6.29 states/eV per cell. Number 9: density of states at the Fermi level 6.30 states/eV per cell. Number 10: density of states at the Fermi level 5.40 states/eV per cell. Number 11: density of states at the Fermi level 6.38 states/eV per cell. Number 12: density of states at the Fermi level 5.15 states/eV per cell. Number 13: density of states at the Fermi level 1.93 states/eV per cell. Number 14: density of states at the Fermi level 1.41 states/eV per cell. Number 15: density of states at the Fermi level 11.72 states/eV per cell. Number 16: density of states at the Fermi level 12.67 states/eV per cell. Number 17: density of states at the Fermi level 2.12 states/eV per cell. Number 18: density of states at the Fermi level 11.79 states/eV per cell. Number 19: density of states at the Fermi level 2.76 states/eV per cell. Number 20: density of states at the Fermi level 7.59 states/eV per cell.